No. 1
Density functional theory data (PBE) for a relaxed GdThRe crystal.

## Properties
total moment	7.2	μB/f.u.
theoretical density	11.70	g/cm3
calculated total energy	-33.7	eV per cell
SG	I4mm, No. 107

Cell lengths 3.488, 3.488, 7.152 Å; angles 104.11, 104.11, 90.00 degrees
Each line ends with the local moment (μB).
Fractional positions:
Th: 0.293 0.293 0.586  0.04
Re: 0.670 0.670 0.340  -0.08
Gd: 0.037 0.037 0.075  7.04

No. 2
Density functional theory data (PBE) for a relaxed GdTiRe4 crystal.

## Properties
total moment	6.6	μB/f.u.
theoretical density	14.81	g/cm3
calculated total energy	-72.2	eV per cell
SG	F-43m, No. 216

Cell lengths 5.320, 5.320, 5.320 Å; angles 60.00, 60.00, 60.00 degrees
Each line ends with the local moment (μB).
Fractional positions:
Re: 0.625 0.625 0.625  -0.09
Re: 0.126 0.625 0.625  -0.09
Re: 0.625 0.126 0.625  -0.09
Re: 0.625 0.625 0.126  -0.09
Ti: 0.250 0.250 0.250  -0.07
Gd: 0.000 0.000 0.000  6.98

No. 3
Density functional theory data (PBE) for a relaxed GdTmRe4 crystal.

## Properties
total moment	6.4	μB/f.u.
theoretical density	15.82	g/cm3
calculated total energy	-69.4	eV per cell
SG	F-43m, No. 216

Cell lengths 5.417, 5.417, 5.417 Å; angles 60.00, 60.00, 60.00 degrees
Each line ends with the local moment (μB).
Fractional positions:
Re: 0.625 0.625 0.625  0.14
Re: 0.625 0.625 0.125  0.14
Re: 0.125 0.625 0.625  0.14
Re: 0.625 0.125 0.625  0.14
Tm: 0.000 0.000 0.000  0.01
Gd: 0.250 0.250 0.250  -6.98

No. 4
Density functional theory data (PBE) for a relaxed GdURe4 crystal.

## Properties
total moment	2.1	μB/f.u.
theoretical density	10.16	g/cm3
calculated total energy	-59.6	eV per cell
SG	F-43m, No. 216

Cell lengths 6.411, 6.411, 6.411 Å; angles 60.00, 60.00, 60.00 degrees
Each line ends with the local moment (μB).
Fractional positions:
Re: 0.404 0.404 0.788  0.32
Re: 0.404 0.404 0.404  0.32
Re: 0.404 0.788 0.404  0.32
Re: 0.788 0.404 0.404  0.32
U: 0.000 0.000 0.000  2.81
Gd: 0.250 0.250 0.250  -6.64

No. 5
Density functional theory data (PBE) for a relaxed GdYRe4 crystal.

## Properties
total moment	6.4	μB/f.u.
theoretical density	14.48	g/cm3
calculated total energy	-71.2	eV per cell
SG	F-43m, No. 216

Cell lengths 5.437, 5.437, 5.437 Å; angles 60.00, 60.00, 60.00 degrees
Each line ends with the local moment (μB).
Fractional positions:
Y: 0.250 0.250 0.250  -0.01
Re: 0.625 0.625 0.625  -0.14
Re: 0.625 0.125 0.625  -0.14
Re: 0.625 0.625 0.125  -0.14
Re: 0.125 0.625 0.625  -0.14
Gd: 0.000 0.000 0.000  6.99

No. 6
Density functional theory data (PBE) for a relaxed Gd2ZnRe crystal.

## Properties
total moment	14.0	μB/f.u.
theoretical density	10.54	g/cm3
calculated total energy	-41.9	eV per cell
SG	P4/mmm, No. 123

Cell lengths 3.502, 3.502, 7.272 Å; angles 90.00, 90.00, 90.00 degrees
Each line ends with the local moment (μB).
Fractional positions:
Gd: 0.000 0.000 0.771  7.04
Gd: 0.000 0.000 0.229  7.04
Zn: 0.500 0.500 0.500  0.00
Re: 0.500 0.500 0.000  -0.35

No. 7
Density functional theory data (PBE) for a relaxed GdZrZnRe crystal.

## Properties
total moment	7.2	μB/f.u.
theoretical density	10.40	g/cm3
calculated total energy	-36.6	eV per cell
SG	F-43m, No. 216

Cell lengths 4.834, 4.834, 4.834 Å; angles 60.00, 60.00, 60.00 degrees
Each line ends with the local moment (μB).
Fractional positions:
Zn: 0.000 0.000 0.000  0.00
Zr: 0.750 0.750 0.750  0.03
Gd: 0.250 0.250 0.250  7.03
Re: 0.500 0.500 0.500  -0.05

No. 8
Density functional theory data (PBE) for a relaxed GdZrRe4 crystal.

## Properties
total moment	6.6	μB/f.u.
theoretical density	15.00	g/cm3
calculated total energy	-73.5	eV per cell
SG	F-43m, No. 216

Cell lengths 5.378, 5.378, 5.378 Å; angles 60.00, 60.00, 60.00 degrees
Each line ends with the local moment (μB).
Fractional positions:
Re: 0.625 0.625 0.124  0.11
Re: 0.124 0.625 0.625  0.11
Re: 0.625 0.625 0.625  0.11
Re: 0.625 0.124 0.625  0.11
Zr: 0.000 0.000 0.000  0.01
Gd: 0.250 0.250 0.250  -6.98

No. 9
Density functional theory data (PBE) for a relaxed Gd5Rh crystal.

## Properties
total moment	6.7	μB/f.u.
theoretical density	7.92	g/cm3
calculated total energy	-76.5	eV per cell
SG	Cmmm, No. 65

Cell lengths 6.002, 3.388, 9.320 Å; angles 100.47, 90.00, 90.00 degrees
Each line ends with the local moment (μB).
Fractional positions:
Gd: 0.000 0.618 0.237  -7.13
Gd: 0.500 0.680 0.360  7.34
Gd: 0.500 0.320 0.640  7.34
Gd: 0.500 0.500 0.000  -7.22
Gd: 0.000 0.382 0.763  -7.13
Rh: 0.000 0.000 0.000  0.14

No. 10
Density functional theory data (PBE) for a relaxed GdRh crystal.

## Properties
total moment	7.0	μB/f.u.
theoretical density	10.41	g/cm3
calculated total energy	-23.0	eV per cell
SG	Pm-3m, No. 221

Cell lengths 3.463, 3.463, 3.463 Å; angles 90.00, 90.00, 90.00 degrees
Each line ends with the local moment (μB).
Fractional positions:
Gd: 0.000 0.000 0.000  7.00
Rh: 0.500 0.500 0.500  -0.12

No. 11
Density functional theory data (PBE) for a relaxed GdRh crystal.

## Properties
total moment	7.0	μB/f.u.
theoretical density	9.45	g/cm3
calculated total energy	-22.6	eV per cell
SG	Fm-3m, No. 225

Cell lengths 4.013, 4.013, 4.013 Å; angles 60.00, 60.00, 60.00 degrees
Each line ends with the local moment (μB).
Fractional positions:
Gd: 0.000 0.000 0.000  -6.96
Rh: 0.500 0.500 0.500  0.04

No. 12
Density functional theory data (PBE) for a relaxed GdRh3 crystal.

## Properties
total moment	2.3	μB/f.u.
theoretical density	10.94	g/cm3
calculated total energy	-230.2	eV per cell
SG	P6_3/mmc, No. 194

Cell lengths 5.274, 5.274, 17.609 Å; angles 90.00, 90.00, 120.00 degrees
Each line ends with the local moment (μB).
Fractional positions:
Rh: 0.000 0.000 0.500  -0.03
Rh: 0.167 0.833 0.126  -0.02
Rh: 0.167 0.334 0.126  -0.02
Rh: 0.167 0.334 0.374  -0.02
Rh: 0.667 0.333 0.750  -0.02
Rh: 0.833 0.666 0.874  -0.02
Rh: 0.333 0.667 0.250  -0.02
Rh: 0.666 0.833 0.374  -0.02
Rh: 0.833 0.666 0.626  -0.02
Rh: 0.833 0.167 0.626  -0.02
Rh: 0.334 0.167 0.626  -0.02
Rh: 0.000 0.000 0.000  -0.03
Rh: 0.833 0.167 0.874  -0.02
Rh: 0.666 0.833 0.126  -0.02
Rh: 0.000 0.000 0.750  -0.03
Rh: 0.167 0.833 0.374  -0.02
Rh: 0.000 0.000 0.250  -0.03
Rh: 0.334 0.167 0.874  -0.02
Gd: 0.667 0.333 0.458  6.98
Gd: 0.333 0.667 0.542  6.98
Gd: 0.667 0.333 0.250  -6.96
Gd: 0.333 0.667 0.750  -6.96
Gd: 0.333 0.667 0.958  6.98
Gd: 0.667 0.333 0.042  6.98